# 1
This record from Alexandria describes crystalline CdTc2Mo at its relaxed geometry. The functional is PBEsol.

Output
- E (eV/atom) = -8.489
- space-group type = Imm2
- E_form (eV per atom) = 0.385
- magnetization (μB/cell) = 0.00

Cell lengths 5.232, 5.232, 5.232 Å; angles 145.42, 129.78, 62.41 degrees
Element x y z (fractional)
Cd 0.000 0.000 0.000
Tc 0.500 0.500 0.000
Tc 0.735 0.235 0.500
Mo 0.269 0.769 0.500

# 2
This record from Alexandria describes crystalline CdRh2Pb at its relaxed geometry. The functional is PBEsol.

Output
- E (eV/atom) = -5.209
- space-group type = P4mm
- E_form (eV per atom) = 0.159
- magnetization (μB/cell) = 1.02

Cell lengths 3.069, 3.069, 7.860 Å; angles 90.00, 90.00, 90.00 degrees
Element x y z (fractional)
Cd 0.000 0.000 0.000
Rh 0.000 0.000 0.589
Rh 0.500 0.500 0.779
Pb 0.500 0.500 0.346

# 3
This record from Alexandria describes crystalline Li2CuB4Pb2O10 at its relaxed geometry. The functional is PBEsol.

Output
- E (eV/atom) = -7.052
- space-group type = C2/c
- magnetization (μB/cell) = 2.00
- energy relative to the elements, uncorrected (eV per formula unit) = -37.172

Cell lengths 8.650, 8.650, 13.915 Å; angles 123.96, 123.96, 32.41 degrees
Element x y z (fractional)
Li 0.001 0.368 0.134
Li 0.368 0.001 0.634
Li 0.632 0.999 0.366
Li 0.999 0.632 0.866
Cu 0.000 0.500 0.000
Cu 0.500 0.000 0.500
B 0.167 0.583 0.520
B 0.170 0.532 0.683
B 0.417 0.833 0.980
B 0.468 0.830 0.817
B 0.532 0.170 0.183
B 0.583 0.167 0.020
B 0.830 0.468 0.317
B 0.833 0.417 0.480
Pb 0.149 0.790 0.360
Pb 0.210 0.851 0.140
Pb 0.790 0.149 0.860
Pb 0.851 0.210 0.640
O 0.035 0.796 0.480
O 0.076 0.675 0.786
O 0.076 0.695 0.622
O 0.204 0.965 0.020
O 0.237 0.364 0.147
O 0.295 0.371 0.970
O 0.305 0.924 0.878
O 0.325 0.924 0.714
O 0.364 0.237 0.647
O 0.371 0.295 0.470
O 0.629 0.705 0.530
O 0.636 0.763 0.353
O 0.675 0.076 0.286
O 0.695 0.076 0.122
O 0.705 0.629 0.030
O 0.763 0.636 0.853
O 0.796 0.035 0.980
O 0.924 0.305 0.378
O 0.924 0.325 0.214
O 0.965 0.204 0.520

# 4
This record from Alexandria describes crystalline TiRu2PtAu at its relaxed geometry. The functional is PBEsol.

Output
- E (eV/atom) = -6.498
- space-group type = P4/mmm
- E_form (eV per atom) = 1.413
- magnetization (μB/cell) = 0.01

Cell lengths 4.662, 4.662, 4.583 Å; angles 90.00, 90.00, 90.00 degrees
Element x y z (fractional)
Ti 0.000 0.000 0.000
Ru 0.000 0.500 0.500
Ru 0.500 0.000 0.500
Pt 0.000 0.000 0.500
Au 0.500 0.500 0.000

# 5
This record from Alexandria describes crystalline Ag4TeAu at its relaxed geometry. The functional is PBEsol.

Output
- E (eV/atom) = -3.270
- space-group type = F-43m
- magnetization (μB/cell) = 0.00
- energy relative to the elements, uncorrected (eV per formula unit) = 1.077

Cell lengths 5.426, 5.426, 5.426 Å; angles 60.00, 60.00, 60.00 degrees
Element x y z (fractional)
Ag 0.125 0.125 0.125
Ag 0.125 0.125 0.626
Ag 0.125 0.626 0.125
Ag 0.626 0.125 0.125
Te 0.500 0.500 0.500
Au 0.750 0.750 0.750

# 6
This record from Alexandria describes crystalline Li2HgF at its relaxed geometry. The functional is PBEsol.

Output
- E (eV/atom) = -3.098
- space-group type = I-42d
- magnetization (μB/cell) = 0.00
- energy relative to the elements, uncorrected (eV per formula unit) = -5.964

Cell lengths 5.560, 5.560, 5.560 Å; angles 117.18, 117.18, 94.95 degrees
Element x y z (fractional)
Li 0.375 0.024 0.149
Li 0.774 0.625 0.649
Li 0.875 0.226 0.851
Li 0.976 0.125 0.351
Hg 0.250 0.750 0.500
Hg 0.500 0.500 0.000
F 0.000 0.000 0.000
F 0.750 0.250 0.500

# 7
This record from Alexandria describes crystalline InCoAg at its relaxed geometry. The functional is PBEsol.

Output
- E above lowest polymorph (meV per atom) = 69
- E (eV/atom) = -4.371
- space-group type = P3m1
- E_form (eV per atom) = 0.306
- magnetization (μB/cell) = 1.15

Cell lengths 4.401, 4.401, 2.834 Å; angles 90.00, 90.00, 120.00 degrees
Element x y z (fractional)
In 0.000 0.000 0.000
Co 0.333 0.667 0.263
Ag 0.667 0.333 0.631

# 8
This record from Alexandria describes crystalline Mg2ZrCu2 at its relaxed geometry. The functional is PBEsol.

Output
- E (eV/atom) = -4.154
- space-group type = I4/mmm
- E_form (eV per atom) = 0.085
- magnetization (μB/cell) = 0.00

Cell lengths 6.483, 6.483, 6.483 Å; angles 145.83, 145.83, 49.10 degrees
Element x y z (fractional)
Mg 0.250 0.750 0.500
Mg 0.750 0.250 0.500
Zr 0.000 0.000 0.000
Cu 0.403 0.403 0.000
Cu 0.597 0.597 0.000

# 9
This record from Alexandria describes crystalline ZrTaN3 at its relaxed geometry. The functional is PBEsol.

Output
- E (eV/atom) = -10.023
- space-group type = Pm-3m
- magnetization (μB/cell) = 0.00
- energy relative to the elements, uncorrected (eV per formula unit) = -2.896

Cell lengths 3.967, 3.967, 3.967 Å; angles 90.00, 90.00, 90.00 degrees
Element x y z (fractional)
Zr 0.000 0.000 0.000
Ta 0.500 0.500 0.500
N 0.000 0.500 0.500
N 0.500 0.000 0.500
N 0.500 0.500 0.000

# 10
This record from Alexandria describes crystalline LiHg2Au at its relaxed geometry. The functional is PBEsol.

Output
- E (eV/atom) = -2.042
- space-group type = I4/mmm
- E_form (eV per atom) = -0.286
- magnetization (μB/cell) = 0.00

Cell lengths 4.821, 4.821, 4.821 Å; angles 124.35, 124.35, 82.62 degrees
Element x y z (fractional)
Li 0.000 0.000 0.000
Hg 0.250 0.750 0.500
Hg 0.750 0.250 0.500
Au 0.500 0.500 0.000

# 11
This record from Alexandria describes crystalline YCrI2N at its relaxed geometry. The functional is PBEsol.

Output
- E (eV/atom) = -6.034
- space-group type = P4/mmm
- magnetization (μB/cell) = 2.26
- energy relative to the elements, uncorrected (eV per formula unit) = -1.045

Cell lengths 5.545, 5.545, 3.618 Å; angles 90.00, 90.00, 90.00 degrees
Element x y z (fractional)
Y 0.000 0.000 0.000
Cr 0.500 0.500 0.500
I 0.000 0.500 0.500
I 0.500 0.000 0.500
N 0.500 0.500 0.000

# 12
This record from Alexandria describes crystalline OsPd3Se at its relaxed geometry. The functional is PBEsol.

Output
- E (eV/atom) = -5.384
- space-group type = Pm-3m
- magnetization (μB/cell) = 0.00
- energy relative to the elements, uncorrected (eV per formula unit) = 7.022

Cell lengths 4.725, 4.725, 4.725 Å; angles 90.00, 90.00, 90.00 degrees
Element x y z (fractional)
Os 0.000 0.000 0.000
Pd 0.000 0.000 0.500
Pd 0.000 0.500 0.000
Pd 0.500 0.000 0.000
Se 0.500 0.500 0.500

# 13
This record from Alexandria describes crystalline Ca5P12Rh19 at its relaxed geometry. The functional is PBEsol.

Output
- E (eV/atom) = -7.511
- space-group type = P-62m
- E_form (eV per atom) = -0.989
- magnetization (μB/cell) = 0.00

Cell lengths 12.521, 12.521, 3.859 Å; angles 90.00, 90.00, 120.00 degrees
Element x y z (fractional)
Ca 0.000 0.184 0.000
Ca 0.184 0.000 0.000
Ca 0.333 0.667 0.500
Ca 0.667 0.333 0.500
Ca 0.816 0.816 0.000
P 0.000 0.365 0.500
P 0.000 0.819 0.500
P 0.168 0.685 0.000
P 0.181 0.181 0.500
P 0.315 0.482 0.000
P 0.365 0.000 0.500
P 0.482 0.315 0.000
P 0.518 0.832 0.000
P 0.635 0.635 0.500
P 0.685 0.168 0.000
P 0.819 0.000 0.500
P 0.832 0.518 0.000
Rh 0.000 0.000 0.500
Rh 0.000 0.547 0.500
Rh 0.000 0.716 0.000
Rh 0.129 0.488 0.000
Rh 0.180 0.804 0.500
Rh 0.196 0.377 0.500
Rh 0.284 0.284 0.000
Rh 0.359 0.871 0.000
Rh 0.377 0.196 0.500
Rh 0.453 0.453 0.500
Rh 0.488 0.129 0.000
Rh 0.512 0.641 0.000
Rh 0.547 0.000 0.500
Rh 0.623 0.820 0.500
Rh 0.641 0.512 0.000
Rh 0.716 0.000 0.000
Rh 0.804 0.180 0.500
Rh 0.820 0.623 0.500
Rh 0.871 0.359 0.000

# 14
This record from Alexandria describes crystalline MgCo6P4 at its relaxed geometry. The functional is PBEsol.

Output
- E (eV/atom) = -7.213
- space-group type = P-6m2
- E_form (eV per atom) = -0.731
- magnetization (μB/cell) = 0.01

Cell lengths 6.487, 6.487, 3.325 Å; angles 90.00, 90.00, 120.00 degrees
Element x y z (fractional)
Mg 0.000 0.000 0.000
Co 0.070 0.535 0.000
Co 0.399 0.199 0.500
Co 0.465 0.535 0.000
Co 0.465 0.930 0.000
Co 0.801 0.199 0.500
Co 0.801 0.601 0.500
P 0.188 0.375 0.500
P 0.188 0.812 0.500
P 0.625 0.812 0.500
P 0.667 0.333 0.000

# 15
This record from Alexandria describes crystalline YZrIn2 at its relaxed geometry. The functional is PBEsol.

Output
- E (eV/atom) = -5.902
- space-group type = Pmmm
- E_form (eV per atom) = -0.433
- magnetization (μB/cell) = 0.00

Cell lengths 3.236, 4.336, 6.548 Å; angles 90.00, 90.00, 90.00 degrees
Element x y z (fractional)
Y 0.000 0.000 0.000
Zr 0.000 0.000 0.500
In 0.500 0.500 0.265
In 0.500 0.500 0.735

# 16
This record from Alexandria describes crystalline Sb2Te at its relaxed geometry. The functional is PBEsol.

Output
- E above lowest polymorph (meV per atom) = 5
- E (eV/atom) = -4.218
- space-group type = P-3m1
- magnetization (μB/cell) = 0.00
- energy relative to the elements, uncorrected (eV per formula unit) = -0.014

Cell lengths 4.351, 4.351, 5.427 Å; angles 90.00, 90.00, 120.00 degrees
Element x y z (fractional)
Sb 0.333 0.667 0.347
Sb 0.667 0.333 0.653
Te 0.000 0.000 0.000

# 17
This record from Alexandria describes crystalline CuRuI3 at its relaxed geometry. The functional is PBEsol.

Output
- E (eV/atom) = -2.883
- space-group type = Pm-3m
- magnetization (μB/cell) = 3.55
- energy relative to the elements, uncorrected (eV per formula unit) = 5.390

Cell lengths 5.246, 5.246, 5.246 Å; angles 90.00, 90.00, 90.00 degrees
Element x y z (fractional)
Cu 0.000 0.000 0.000
Ru 0.500 0.500 0.500
I 0.000 0.000 0.500
I 0.000 0.500 0.000
I 0.500 0.000 0.000

# 18
This record from Alexandria describes crystalline MnTeSO2 at its relaxed geometry. The functional is PBEsol.

Output
- E (eV/atom) = -5.882
- space-group type = P4/mmm
- magnetization (μB/cell) = 4.94
- energy relative to the elements, uncorrected (eV per formula unit) = -1.239

Cell lengths 3.980, 3.980, 5.343 Å; angles 90.00, 90.00, 90.00 degrees
Element x y z (fractional)
Mn 0.000 0.000 0.000
Te 0.500 0.500 0.500
S 0.500 0.500 0.000
O 0.000 0.500 0.500
O 0.500 0.000 0.500

# 19
This record from Alexandria describes crystalline Zr3RuC at its relaxed geometry. The functional is PBEsol.

Output
- E (eV/atom) = -9.673
- space-group type = Pm-3m
- E_form (eV per atom) = -0.256
- magnetization (μB/cell) = 0.00

Cell lengths 4.435, 4.435, 4.435 Å; angles 90.00, 90.00, 90.00 degrees
Element x y z (fractional)
Zr 0.000 0.000 0.500
Zr 0.000 0.500 0.000
Zr 0.500 0.000 0.000
Ru 0.500 0.500 0.500
C 0.000 0.000 0.000

# 20
This record from Alexandria describes crystalline Cs2MgS2 at its relaxed geometry. The functional is PBEsol.

Output
- E (eV/atom) = -2.614
- space-group type = I4/mmm
- magnetization (μB/cell) = 0.00
- energy relative to the elements, uncorrected (eV per formula unit) = -0.699

Cell lengths 12.329, 12.329, 12.329 Å; angles 162.17, 162.17, 25.31 degrees
Element x y z (fractional)
Cs 0.138 0.138 0.000
Cs 0.862 0.862 0.000
Mg 0.500 0.500 0.000
S 0.250 0.750 0.500
S 0.750 0.250 0.500

# 21
This record from Alexandria describes crystalline BePtNF2 at its relaxed geometry. The functional is PBEsol.

Output
- E (eV/atom) = -5.662
- space-group type = P4/mmm
- magnetization (μB/cell) = 0.00
- energy relative to the elements, uncorrected (eV per formula unit) = -4.964

Cell lengths 3.039, 3.039, 6.481 Å; angles 90.00, 90.00, 90.00 degrees
Element x y z (fractional)
Be 0.000 0.000 0.000
Pt 0.500 0.500 0.500
N 0.000 0.000 0.500
F 0.000 0.500 0.000
F 0.500 0.000 0.000

# 22
This record from Alexandria describes crystalline Li2MgTe at its relaxed geometry. The functional is PBEsol.

Output
- E above lowest polymorph (meV per atom) = 73
- E (eV/atom) = -2.704
- space-group type = Fm-3m
- magnetization (μB/cell) = 0.00
- energy relative to the elements, uncorrected (eV per formula unit) = -1.639

Cell lengths 4.950, 4.950, 4.950 Å; angles 60.00, 60.00, 60.00 degrees
Element x y z (fractional)
Li 0.250 0.250 0.250
Li 0.750 0.750 0.750
Mg 0.000 0.000 0.000
Te 0.500 0.500 0.500

# 23
This record from Alexandria describes crystalline Li3Ge at its relaxed geometry. The functional is PBEsol.

Output
- E (eV/atom) = -3.048
- space-group type = Fm-3m
- E_form (eV per atom) = -0.339
- magnetization (μB/cell) = 0.00

Cell lengths 4.349, 4.349, 4.349 Å; angles 60.00, 60.00, 60.00 degrees
Element x y z (fractional)
Li 0.000 0.000 0.000
Li 0.250 0.250 0.250
Li 0.750 0.750 0.750
Ge 0.500 0.500 0.500

# 24
This record from Alexandria describes crystalline CdMo2Se at its relaxed geometry. The functional is PBEsol.

Output
- E above lowest polymorph (meV per atom) = 493
- E (eV/atom) = -6.520
- space-group type = I-4m2
- magnetization (μB/cell) = 0.00
- energy relative to the elements, uncorrected (eV per formula unit) = 2.502

Cell lengths 4.990, 4.990, 4.990 Å; angles 132.59, 132.59, 69.29 degrees
Element x y z (fractional)
Cd 0.000 0.000 0.000
Mo 0.500 0.500 0.000
Mo 0.750 0.250 0.500
Se 0.250 0.750 0.500

# 25
This record from Alexandria describes crystalline As2Ru at its relaxed geometry. The functional is PBEsol.

Output
- E (eV/atom) = -6.976
- space-group type = C2/m
- E_form (eV per atom) = -0.181
- magnetization (μB/cell) = 0.00

Cell lengths 6.363, 6.363, 6.180 Å; angles 119.05, 119.05, 27.84 degrees
Element x y z (fractional)
As 0.081 0.081 0.272
As 0.364 0.364 0.171
As 0.636 0.636 0.829
As 0.919 0.919 0.728
Ru 0.256 0.256 0.704
Ru 0.744 0.744 0.296